Crystalline YHfB3 at its relaxed geometry. Source: the Alexandria database, functional PBE.

Results
* energy relative to the lowest polymorph listed for this composition: 1021.1 meV per atom
* D(E_F): 1.1 states/eV/cell
* formation energy from the elements: 8.39 eV/f.u.
* space group: Pm-3m, No. 221
* calculated volume: 80 Å³/cell

POSCAR file:
```
YHfB3
1.0
-3.843 -1.239 -1.485
-0.185 -3.053 3.026
-1.925 2.767 2.674
Hf Y B
1 1 3
Direct
0.500 0.500 0.500 Hf
0.000 0.000 0.000 Y
0.000 0.000 0.500 B
0.500 0.000 0.000 B
0.000 0.500 0.000 B
```


Crystalline Co3BBr at its relaxed geometry. Source: the Alexandria database, functional PBE.

Results
* formation energy without anion corrections: 0.5246 eV/atom
* energy relative to the lowest polymorph listed for this composition: 0.0 meV per atom
* D(E_F): 4.2 states/eV/cell
* space group: Pm-3m, No. 221
* calculated volume: 61 Å³/cell

POSCAR file:
```
Co3BBr
1.0
3.943 0.000 0.000
0.000 3.943 0.000
0.000 0.000 3.943
Br Co B
1 3 1
Direct
0.500 0.500 0.500 Br
0.000 0.500 0.000 Co
0.000 0.000 0.500 Co
0.500 0.000 0.000 Co
0.000 0.000 0.000 B
```


Crystalline TbHo2Pt at its relaxed geometry. Source: the Alexandria database, functional PBE.

Results
* energy relative to the lowest polymorph listed for this composition: 0.0 meV per atom
* D(E_F): 17.0 states/eV/cell
* formation energy from the elements: -2.89 eV/f.u.
* space group: Pnma, No. 62
* calculated volume: 436 Å³/cell

POSCAR file:
```
TbHo2Pt
1.0
6.484 0.000 0.000
0.000 7.040 0.000
0.000 0.000 9.555
Pt Ho Tb
4 8 4
Direct
0.946 0.613 0.750 Pt
0.446 0.887 0.250 Pt
0.054 0.387 0.250 Pt
0.554 0.113 0.750 Pt
0.323 0.179 0.061 Ho
0.677 0.821 0.939 Ho
0.823 0.321 0.561 Ho
0.823 0.321 0.939 Ho
0.177 0.679 0.439 Ho
0.677 0.821 0.561 Ho
0.177 0.679 0.061 Ho
0.323 0.179 0.439 Ho
0.131 0.975 0.750 Tb
0.631 0.525 0.250 Tb
0.369 0.475 0.750 Tb
0.869 0.025 0.250 Tb
```


Q: What is the energy relative to the lowest polymorph listed for this composition in the third record?
A: 0.0 meV per atom